Record 1
Entry from the Alexandria database: crystalline ScNiAu at its relaxed geometry (PBE). Values from VASP.

- D(E_F): 1.3 states/eV/f.u.
- Formation enthalpy at 0 K: -0.560 eV/atom

Cell and atoms, written as Quantum ESPRESSO input:
```
&SYSTEM
  ibrav = 0, nat = 6, ntyp = 3
/
ATOMIC_SPECIES
Sc 44.96 Sc.upf
Ni 58.69 Ni.upf
Au 196.97 Au.upf
CELL_PARAMETERS angstrom
6.081 -1.945 0.000
6.081 1.945 0.000
-0.016 0.000 4.138
ATOMIC_POSITIONS angstrom
Sc 1.316 0.000 1.036
Sc 10.830 0.000 3.101
Ni 2.995 0.000 3.112
Ni 9.150 0.000 1.026
Au 5.001 0.000 1.035
Au 7.144 0.000 3.102
```


Record 2
Entry from the Alexandria database: crystalline ScNiAu at its relaxed geometry (PBE). Values from VASP.

- D(E_F): 1.3 states/eV/f.u.
- Formation enthalpy at 0 K: -0.412 eV/atom

Cell and atoms, written as Quantum ESPRESSO input:
```
&SYSTEM
  ibrav = 0, nat = 3, ntyp = 3
/
ATOMIC_SPECIES
Sc 44.96 Sc.upf
Ni 58.69 Ni.upf
Au 196.97 Au.upf
CELL_PARAMETERS angstrom
0.000 3.030 3.030
3.030 0.000 3.030
3.030 3.030 0.000
ATOMIC_POSITIONS angstrom
Sc 0.000 0.000 0.000
Ni 4.546 4.546 4.546
Au 3.030 3.030 3.030
```


Record 3
Entry from the Alexandria database: crystalline ScNi2Au at its relaxed geometry (PBE). Values from VASP.

- D(E_F): 4.9 states/eV/f.u.
- Formation enthalpy at 0 K: -0.332 eV/atom

Cell and atoms, written as Quantum ESPRESSO input:
```
&SYSTEM
  ibrav = 0, nat = 4, ntyp = 3
/
ATOMIC_SPECIES
Sc 44.96 Sc.upf
Ni 58.69 Ni.upf
Au 196.97 Au.upf
CELL_PARAMETERS angstrom
3.314 0.000 0.000
0.000 3.314 0.000
0.000 0.000 5.492
ATOMIC_POSITIONS angstrom
Sc 0.000 0.000 0.000
Ni 0.000 0.000 3.004
Ni 1.657 1.657 4.168
Au 1.657 1.657 1.591
```


Record 4
Entry from the Alexandria database: crystalline ScNi2Au at its relaxed geometry (PBE). Values from VASP.

- D(E_F): 2.7 states/eV/f.u.
- Formation enthalpy at 0 K: -0.058 eV/atom

Cell and atoms, written as Quantum ESPRESSO input:
```
&SYSTEM
  ibrav = 0, nat = 8, ntyp = 3
/
ATOMIC_SPECIES
Sc 44.96 Sc.upf
Ni 58.69 Ni.upf
Au 196.97 Au.upf
CELL_PARAMETERS angstrom
-1.930 1.930 8.831
1.930 -1.930 8.831
1.930 1.930 -8.831
ATOMIC_POSITIONS angstrom
Sc 0.000 0.000 0.000
Sc 0.000 1.930 4.415
Ni 0.965 -0.879 6.623
Ni 1.051 0.965 2.208
Ni 0.965 2.809 -2.208
Ni 0.879 0.965 11.038
Au 1.930 0.000 4.415
Au 0.000 0.000 8.831
```


Record 5
Entry from the Alexandria database: crystalline Sc2NiAu at its relaxed geometry (PBE). Values from VASP.

- D(E_F): 3.0 states/eV/f.u.
- Formation enthalpy at 0 K: -0.412 eV/atom

Cell and atoms, written as Quantum ESPRESSO input:
```
&SYSTEM
  ibrav = 0, nat = 4, ntyp = 3
/
ATOMIC_SPECIES
Sc 44.96 Sc.upf
Ni 58.69 Ni.upf
Au 196.97 Au.upf
CELL_PARAMETERS angstrom
0.000 3.236 3.236
3.236 0.000 3.236
3.236 3.236 0.000
ATOMIC_POSITIONS angstrom
Sc 0.000 0.000 0.000
Sc 1.618 1.618 1.618
Ni 3.236 3.236 3.236
Au 4.854 4.854 4.854
```


Record 6
Entry from the Alexandria database: crystalline Sc2NiAu at its relaxed geometry (PBE). Values from VASP.

- D(E_F): 2.7 states/eV/f.u.
- Formation enthalpy at 0 K: -0.612 eV/atom

Cell and atoms, written as Quantum ESPRESSO input:
```
&SYSTEM
  ibrav = 0, nat = 4, ntyp = 3
/
ATOMIC_SPECIES
Sc 44.96 Sc.upf
Ni 58.69 Ni.upf
Au 196.97 Au.upf
CELL_PARAMETERS angstrom
3.373 0.000 0.000
0.000 4.624 0.000
0.000 0.000 4.627
ATOMIC_POSITIONS angstrom
Sc 0.000 0.000 0.000
Sc 0.000 2.312 2.312
Ni 1.686 0.000 2.317
Au 1.686 2.312 4.625
```


Record 7
Entry from the Alexandria database: crystalline Sc2NiAu at its relaxed geometry (PBE). Values from VASP.

- D(E_F): 4.7 states/eV/f.u.
- Formation enthalpy at 0 K: -0.208 eV/atom

Cell and atoms, written as Quantum ESPRESSO input:
```
&SYSTEM
  ibrav = 0, nat = 8, ntyp = 3
/
ATOMIC_SPECIES
Sc 44.96 Sc.upf
Ni 58.69 Ni.upf
Au 196.97 Au.upf
CELL_PARAMETERS angstrom
-3.651 3.651 2.836
3.651 -3.651 2.836
3.651 3.651 -2.836
ATOMIC_POSITIONS angstrom
Sc 1.826 1.580 -0.709
Sc 2.071 -1.826 3.545
Sc 1.826 2.071 2.127
Sc 1.580 5.477 0.709
Ni 0.000 0.000 0.000
Ni 0.000 3.651 1.418
Au 3.651 0.000 1.418
Au 0.000 0.000 2.836
```


Record 8
Entry from the Alexandria database: crystalline ScNi2Au at its relaxed geometry (PBE). Values from VASP.

- D(E_F): 2.9 states/eV/f.u.
- Formation enthalpy at 0 K: -0.303 eV/atom

Cell and atoms, written as Quantum ESPRESSO input:
```
&SYSTEM
  ibrav = 0, nat = 4, ntyp = 3
/
ATOMIC_SPECIES
Sc 44.96 Sc.upf
Ni 58.69 Ni.upf
Au 196.97 Au.upf
CELL_PARAMETERS angstrom
0.000 3.114 3.114
3.114 0.000 3.114
3.114 3.114 0.000
ATOMIC_POSITIONS angstrom
Sc 0.000 0.000 0.000
Ni 1.557 1.557 1.557
Ni 3.114 3.114 3.114
Au 4.670 4.670 4.670
```


Record 9
Entry from the Alexandria database: crystalline Sc2NiAu at its relaxed geometry (PBE). Values from VASP.

- D(E_F): 3.1 states/eV/f.u.
- Formation enthalpy at 0 K: -0.114 eV/atom

Cell and atoms, written as Quantum ESPRESSO input:
```
&SYSTEM
  ibrav = 0, nat = 4, ntyp = 3
/
ATOMIC_SPECIES
Sc 44.96 Sc.upf
Ni 58.69 Ni.upf
Au 196.97 Au.upf
CELL_PARAMETERS angstrom
1.675 0.967 8.338
-1.675 0.967 8.338
0.000 -1.934 8.338
ATOMIC_POSITIONS angstrom
Sc 0.000 0.000 0.000
Sc 0.000 0.000 5.505
Ni 0.000 0.000 12.206
Au 0.000 0.000 18.704
```


Record 10
Entry from the Alexandria database: crystalline Sc4Ni3Au at its relaxed geometry (PBE). Values from VASP.

- D(E_F): 5.0 states/eV/f.u.
- Formation enthalpy at 0 K: -0.563 eV/atom

Cell and atoms, written as Quantum ESPRESSO input:
```
&SYSTEM
  ibrav = 0, nat = 8, ntyp = 3
/
ATOMIC_SPECIES
Sc 44.96 Sc.upf
Ni 58.69 Ni.upf
Au 196.97 Au.upf
CELL_PARAMETERS angstrom
2.287 1.321 7.489
-2.287 1.321 7.489
0.000 -2.641 7.489
ATOMIC_POSITIONS angstrom
Sc 0.000 0.000 2.690
Sc 0.000 0.000 8.333
Sc 0.000 0.000 14.135
Sc 0.000 0.000 19.777
Ni 0.000 0.000 0.000
Ni 0.000 0.000 5.653
Ni 0.000 0.000 16.815
Au 0.000 0.000 11.234
```


Record 11
Entry from the Alexandria database: crystalline ScNiAu at its relaxed geometry (PBE). Values from VASP.

- D(E_F): 2.2 states/eV/f.u.
- Formation enthalpy at 0 K: -0.546 eV/atom

Cell and atoms, written as Quantum ESPRESSO input:
```
&SYSTEM
  ibrav = 0, nat = 3, ntyp = 3
/
ATOMIC_SPECIES
Sc 44.96 Sc.upf
Ni 58.69 Ni.upf
Au 196.97 Au.upf
CELL_PARAMETERS angstrom
-1.688 1.688 4.358
1.688 -1.688 4.358
1.688 1.688 -4.358
ATOMIC_POSITIONS angstrom
Sc 0.000 0.000 0.000
Ni 0.000 0.000 5.670
Au 0.000 0.000 2.809
```


Record 12
Entry from the Alexandria database: crystalline Sc4NiAu at its relaxed geometry (PBE). Values from VASP.

- Energy above the lowest structure with this stoichiometry: 0 meV per atom
- D(E_F): 7.2 states/eV/f.u.
- Formation enthalpy at 0 K: -0.299 eV/atom

Cell and atoms, written as Quantum ESPRESSO input:
```
&SYSTEM
  ibrav = 0, nat = 6, ntyp = 3
/
ATOMIC_SPECIES
Sc 44.96 Sc.upf
Ni 58.69 Ni.upf
Au 196.97 Au.upf
CELL_PARAMETERS angstrom
4.533 0.000 0.000
0.000 4.533 0.000
0.000 0.000 6.523
ATOMIC_POSITIONS angstrom
Sc 0.000 2.266 1.522
Sc 0.000 2.266 5.000
Sc 2.266 0.000 1.522
Sc 2.266 0.000 5.000
Ni 0.000 0.000 0.000
Au 2.266 2.266 3.261
```


Record 13
Entry from the Alexandria database: crystalline ScNiAu at its relaxed geometry (PBE). Values from VASP.

- D(E_F): 2.8 states/eV/f.u.
- Formation enthalpy at 0 K: -0.440 eV/atom

Cell and atoms, written as Quantum ESPRESSO input:
```
&SYSTEM
  ibrav = 0, nat = 3, ntyp = 3
/
ATOMIC_SPECIES
Sc 44.96 Sc.upf
Ni 58.69 Ni.upf
Au 196.97 Au.upf
CELL_PARAMETERS angstrom
4.376 0.000 0.000
-2.188 3.789 0.000
0.000 0.000 3.120
ATOMIC_POSITIONS angstrom
Sc 0.000 0.000 0.000
Ni 0.000 2.526 1.567
Au 2.188 1.263 1.558
```


Record 14
Entry from the Alexandria database: crystalline Sc12Ni6Au at its relaxed geometry (PBE). Values from VASP.

- D(E_F): 31.5 states/eV/f.u.
- Formation enthalpy at 0 K: -0.403 eV/atom

Cell and atoms, written as Quantum ESPRESSO input:
```
&SYSTEM
  ibrav = 0, nat = 19, ntyp = 3
/
ATOMIC_SPECIES
Sc 44.96 Sc.upf
Ni 58.69 Ni.upf
Au 196.97 Au.upf
CELL_PARAMETERS angstrom
-4.489 4.489 4.489
4.489 -4.489 4.489
4.489 4.489 -4.489
ATOMIC_POSITIONS angstrom
Sc 4.489 2.828 -1.847
Sc 2.642 0.000 1.662
Sc 6.337 0.000 1.662
Sc 1.662 2.642 0.000
Sc 2.828 -1.847 4.489
Sc 0.000 1.662 2.642
Sc 4.489 2.828 1.847
Sc 1.662 6.337 0.000
Sc 2.828 1.847 4.489
Sc -1.847 4.489 2.828
Sc 1.847 4.489 2.828
Sc 0.000 1.662 6.337
Ni 4.489 1.191 0.000
Ni 4.489 0.000 3.299
Ni 3.299 4.489 0.000
Ni 1.191 0.000 4.489
Ni 0.000 4.489 1.191
Ni 0.000 3.299 4.489
Au 0.000 0.000 0.000
```


Record 15
Entry from the Alexandria database: crystalline ScNiAu at its relaxed geometry (PBE). Values from VASP.

- D(E_F): 1.3 states/eV/f.u.
- Formation enthalpy at 0 K: -0.200 eV/atom

Cell and atoms, written as Quantum ESPRESSO input:
```
&SYSTEM
  ibrav = 0, nat = 3, ntyp = 3
/
ATOMIC_SPECIES
Sc 44.96 Sc.upf
Ni 58.69 Ni.upf
Au 196.97 Au.upf
CELL_PARAMETERS angstrom
3.371 0.000 0.000
-1.686 2.919 0.000
0.000 0.000 5.540
ATOMIC_POSITIONS angstrom
Sc 0.000 0.000 0.000
Ni 1.686 0.973 3.869
Au 0.000 1.946 2.094
```


Record 16
Entry from the Alexandria database: crystalline Sc2Ni2Au at its relaxed geometry (PBE). Values from VASP.

- Energy above the lowest structure with this stoichiometry: 0 meV per atom
- D(E_F): 4.0 states/eV/f.u.
- Formation enthalpy at 0 K: -0.598 eV/atom

Cell and atoms, written as Quantum ESPRESSO input:
```
&SYSTEM
  ibrav = 0, nat = 10, ntyp = 3
/
ATOMIC_SPECIES
Sc 44.96 Sc.upf
Ni 58.69 Ni.upf
Au 196.97 Au.upf
CELL_PARAMETERS angstrom
6.966 0.000 0.000
0.000 6.966 0.000
0.000 0.000 3.383
ATOMIC_POSITIONS angstrom
Sc 1.212 2.271 0.000
Sc 2.271 5.754 0.000
Sc 4.695 1.212 0.000
Sc 5.754 4.695 0.000
Ni 0.861 4.344 1.691
Ni 2.622 0.861 1.691
Ni 4.344 6.105 1.691
Ni 6.105 2.622 1.691
Au 0.000 0.000 1.691
Au 3.483 3.483 1.691
```


Record 17
Entry from the Alexandria database: crystalline Sc6Ni5Au at its relaxed geometry (PBE). Values from VASP.

- D(E_F): 10.4 states/eV/f.u.
- Formation enthalpy at 0 K: -0.534 eV/atom

Cell and atoms, written as Quantum ESPRESSO input:
```
&SYSTEM
  ibrav = 0, nat = 12, ntyp = 3
/
ATOMIC_SPECIES
Sc 44.96 Sc.upf
Ni 58.69 Ni.upf
Au 196.97 Au.upf
CELL_PARAMETERS angstrom
4.536 0.000 0.000
0.000 6.487 0.000
-2.242 0.000 6.787
ATOMIC_POSITIONS angstrom
Sc 0.000 1.548 0.000
Sc 0.000 4.940 0.000
Sc 0.017 1.587 4.464
Sc 0.017 4.900 4.464
Sc 2.277 1.587 2.323
Sc 2.277 4.900 2.323
Ni 0.008 0.000 2.216
Ni 0.005 3.244 2.300
Ni 2.268 0.000 0.000
Ni 2.289 3.244 4.487
Ni 2.286 0.000 4.570
Au 2.268 3.244 0.000
```


Record 18
Entry from the Alexandria database: crystalline Sc4NiAu3 at its relaxed geometry (PBE). Values from VASP.

- D(E_F): 7.2 states/eV/f.u.
- Formation enthalpy at 0 K: -0.720 eV/atom

Cell and atoms, written as Quantum ESPRESSO input:
```
&SYSTEM
  ibrav = 0, nat = 8, ntyp = 3
/
ATOMIC_SPECIES
Sc 44.96 Sc.upf
Ni 58.69 Ni.upf
Au 196.97 Au.upf
CELL_PARAMETERS angstrom
3.340 0.000 0.000
0.000 3.340 0.000
0.000 0.000 13.547
ATOMIC_POSITIONS angstrom
Sc 0.000 0.000 1.523
Sc 0.000 0.000 5.020
Sc 0.000 0.000 8.527
Sc 0.000 0.000 12.024
Ni 1.670 1.670 0.000
Au 1.670 1.670 3.277
Au 1.670 1.670 6.774
Au 1.670 1.670 10.271
```


Record 19
Entry from the Alexandria database: crystalline ScNi8Au3 at its relaxed geometry (PBE). Values from VASP.

- D(E_F): 12.3 states/eV/f.u.
- Formation enthalpy at 0 K: -0.135 eV/atom

Cell and atoms, written as Quantum ESPRESSO input:
```
&SYSTEM
  ibrav = 0, nat = 12, ntyp = 3
/
ATOMIC_SPECIES
Sc 44.96 Sc.upf
Ni 58.69 Ni.upf
Au 196.97 Au.upf
CELL_PARAMETERS angstrom
2.418 1.396 7.853
-2.418 1.396 7.853
0.000 -2.792 7.853
ATOMIC_POSITIONS angstrom
Sc 0.000 0.000 0.000
Ni 0.000 -1.395 5.426
Ni -1.208 0.698 5.426
Ni -1.209 -0.698 9.350
Ni 0.000 0.000 7.382
Ni 1.208 0.698 5.426
Ni 1.209 -0.698 9.350
Ni 0.000 1.396 9.350
Ni 0.000 0.000 19.165
Au 0.000 0.000 2.934
Au 0.000 0.000 11.801
Au 0.000 0.000 14.782
```


Record 20
Entry from the Alexandria database: crystalline ScNiAu at its relaxed geometry (PBE). Values from VASP.

- D(E_F): 3.0 states/eV/f.u.
- Formation enthalpy at 0 K: -0.095 eV/atom

Cell and atoms, written as Quantum ESPRESSO input:
```
&SYSTEM
  ibrav = 0, nat = 3, ntyp = 3
/
ATOMIC_SPECIES
Sc 44.96 Sc.upf
Ni 58.69 Ni.upf
Au 196.97 Au.upf
CELL_PARAMETERS angstrom
0.000 3.094 3.094
3.094 0.000 3.094
3.094 3.094 0.000
ATOMIC_POSITIONS angstrom
Sc 0.000 0.000 0.000
Ni 4.641 4.641 4.641
Au 1.547 1.547 1.547
```